Record 1
Computed, not measured: a relaxed NpTlSe3 crystal at the PBE level of DFT.

The value obtained for the total magnetization is 6.01 μB/cell. The value obtained for the density of states at the Fermi level is 1.81 states/eV per atom. The polymorph energy (0 for the lowest one) is 0 meV per atom. The space group is C2/m, No. 12.

Structure (POSCAR):
```
NpTlSe3
1.0
8.849 -2.111 0.000
8.849 2.111 0.000
-5.254 0.000 8.120
Np Tl Se
2 2 6
Direct
0.171 0.171 0.070
0.829 0.829 0.930
0.389 0.389 0.558
0.611 0.611 0.442
0.024 0.024 0.144
0.266 0.266 0.696
0.351 0.351 0.145
0.649 0.649 0.855
0.734 0.734 0.304
0.976 0.976 0.856
```

***

Record 2
Computed, not measured: a relaxed NdYAu crystal at the PBE level of DFT.

The value obtained for the total magnetization is 0.00 μB/cell. The value obtained for the density of states at the Fermi level is 1.44 states/eV per atom. The polymorph energy (0 for the lowest one) is 178 meV per atom. For the calculated formation energy, the calculation gives -39 kJ/mol of atoms. The space group is F-43m, No. 216.

Structure (POSCAR):
```
NdYAu
1.0
0.000 3.581 3.581
3.581 0.000 3.581
3.581 3.581 0.000
Nd Y Au
1 1 1
Direct
0.000 0.000 0.000
0.500 0.500 0.500
0.750 0.750 0.750
```

***

Record 3
Computed, not measured: a relaxed PaOsF crystal at the PBE level of DFT.

The value obtained for the total magnetization is 0.00 μB/cell. The value obtained for the density of states at the Fermi level is 0.05 states/eV per atom. The value obtained for the energy is -8.91 eV/atom. The space group is R-3m, No. 166.

Structure (POSCAR):
```
PaOsF
1.0
1.912 1.104 9.009
-1.912 1.104 9.009
0.000 -2.208 9.009
Pa Os F
2 2 2
Direct
0.245 0.245 0.245
0.755 0.755 0.755
0.363 0.363 0.363
0.637 0.637 0.637
0.134 0.134 0.134
0.866 0.866 0.866
```

***

Record 4
Computed, not measured: a relaxed LiB3Ru crystal at the PBE level of DFT.

The value obtained for the total magnetization is 0.00 μB/cell. The value obtained for the density of states at the Fermi level is 0.00 states/eV per atom. The polymorph energy (0 for the lowest one) is 0 meV per atom. For the calculated formation energy, the calculation gives 57 kJ/mol of atoms. The space group is Pm-3m, No. 221.

Structure (POSCAR):
```
LiB3Ru
1.0
4.055 0.000 0.000
0.000 4.055 0.000
0.000 0.000 4.055
Li B Ru
1 3 1
Direct
0.000 0.000 0.000
0.000 0.500 0.500
0.500 0.000 0.500
0.500 0.500 0.000
0.500 0.500 0.500
```

***

Record 5
Computed, not measured: a relaxed PrCdNiAu crystal at the PBE level of DFT.

The value obtained for the total magnetization is 0.00 μB/cell. The value obtained for the density of states at the Fermi level is 0.78 states/eV per atom. For the calculated formation energy, the calculation gives -32 kJ/mol of atoms. The space group is F-43m, No. 216.

Structure (POSCAR):
```
PrCdNiAu
1.0
0.000 3.483 3.483
3.483 0.000 3.483
3.483 3.483 0.000
Pr Cd Ni Au
1 1 1 1
Direct
0.000 0.000 0.000
0.500 0.500 0.500
0.250 0.250 0.250
0.750 0.750 0.750
```

***

Record 6
Computed, not measured: a relaxed Zr2ScBiO crystal at the PBE level of DFT.

The value obtained for the total magnetization is 0.03 μB/cell. The value obtained for the density of states at the Fermi level is 1.42 states/eV per atom. The value obtained for the energy is -7.56 eV/atom. The space group is P4/mmm, No. 123.

Structure (POSCAR):
```
Zr2ScBiO
1.0
4.690 0.000 0.000
0.000 4.690 0.000
0.000 0.000 4.272
Zr Sc Bi O
2 1 1 1
Direct
0.000 0.500 0.000
0.500 0.000 0.000
0.000 0.000 0.500
0.500 0.500 0.500
0.000 0.000 0.000
```

***

Record 7
Computed, not measured: a relaxed CsGa3Ge2 crystal at the PBE level of DFT.

The value obtained for the total magnetization is 0.00 μB/cell. The value obtained for the density of states at the Fermi level is 0.47 states/eV per atom. The polymorph energy (0 for the lowest one) is 126 meV per atom. For the calculated formation energy, the calculation gives 6 kJ/mol of atoms. The space group is C2/m, No. 12.

Structure (POSCAR):
```
CsGa3Ge2
1.0
13.661 -2.106 0.000
13.661 2.106 0.000
-1.665 0.000 7.087
Cs Ga Ge
2 6 4
Direct
0.122 0.122 0.138
0.878 0.878 0.862
0.002 0.002 0.671
0.295 0.295 0.094
0.296 0.296 0.485
0.704 0.704 0.515
0.705 0.705 0.906
0.998 0.998 0.329
0.239 0.239 0.740
0.493 0.493 0.156
0.507 0.507 0.844
0.761 0.761 0.260
```

***

Record 8
Computed, not measured: a relaxed Nd6YHo2Er3 crystal at the PBE level of DFT.

The value obtained for the total magnetization is 0.00 μB/cell. The value obtained for the density of states at the Fermi level is 1.08 states/eV per atom. For the calculated formation energy, the calculation gives 1 kJ/mol of atoms. The space group is C2/m, No. 12.

Structure (POSCAR):
```
Nd6YHo2Er3
1.0
3.131 -5.421 0.000
3.131 5.421 0.000
-2.080 0.000 11.627
Nd Y Ho Er
6 1 2 3
Direct
0.082 0.416 0.249
0.250 0.250 0.751
0.416 0.082 0.249
0.584 0.918 0.751
0.750 0.750 0.249
0.918 0.584 0.751
0.500 0.500 0.500
0.167 0.833 0.500
0.833 0.167 0.500
0.000 0.000 0.000
0.333 0.667 0.000
0.667 0.333 0.000
```